[1]
The following is a DFT calculation (PBE-GGA) of a geometry-optimized PaGePd structure.

Geometry as POSCAR:
```
PaGePd
1.0
4.342 0.000 0.000
-2.171 3.760 0.000
0.000 0.000 3.709
Pa Ge Pd
1 1 1
direct
0.000 0.000 0.000
0.667 0.333 0.532
0.333 0.667 0.464
```

Values from the calculation:
Size of the total moment   0.000 μB/atom
Energy   -21.37 eV/cell
Space-group type   P3m1


[2]
The following is a DFT calculation (PBE-GGA) of a geometry-optimized PaGePd2 structure.

Geometry as POSCAR:
```
PaGePd2
1.0
2.051 -5.216 0.000
2.051 5.216 0.000
0.000 0.000 6.982
Pa Ge Pd
2 2 4
direct
0.068 0.932 0.750
0.932 0.068 0.250
0.217 0.783 0.250
0.783 0.217 0.750
0.372 0.628 0.550
0.372 0.628 0.950
0.628 0.372 0.050
0.628 0.372 0.450
```

Values from the calculation:
Size of the total moment   0.000 μB/atom
Energy   -54.29 eV/cell
E above lowest polymorph   0.00 eV per formula unit
Space-group type   Cmcm


[3]
The following is a DFT calculation (PBE-GGA) of a geometry-optimized Pa3Ge4Pd7 structure.

Geometry as POSCAR:
```
Pa3Ge4Pd7
1.0
7.900 -2.070 0.000
7.900 2.070 0.000
-5.609 0.000 7.772
Pa Ge Pd
3 4 7
direct
0.000 0.000 0.000
0.320 0.320 0.327
0.680 0.680 0.673
0.110 0.110 0.829
0.345 0.345 0.748
0.655 0.655 0.252
0.890 0.890 0.171
0.000 0.000 0.500
0.165 0.165 0.435
0.309 0.309 0.973
0.490 0.490 0.701
0.510 0.510 0.299
0.691 0.691 0.027
0.835 0.835 0.565
```

Values from the calculation:
Size of the total moment   0.000 μB/atom
Energy   -92.81 eV/cell
Space-group type   C2/m


[4]
The following is a DFT calculation (PBE-GGA) of a geometry-optimized PaGePd structure.

Geometry as POSCAR:
```
PaGePd
1.0
-2.186 3.582 3.814
2.186 -3.582 3.814
2.186 3.582 -3.814
Pa Ge Pd
2 2 2
direct
0.000 0.000 0.000
0.551 0.051 0.500
0.133 0.364 0.769
0.595 0.364 0.231
0.407 0.695 0.712
0.982 0.695 0.288
```

Values from the calculation:
Size of the total moment   0.000 μB/atom
Energy   -42.75 eV/cell
Space-group type   Imm2


[5]
The following is a DFT calculation (PBE-GGA) of a geometry-optimized PaGe2Pd4 structure.

Geometry as POSCAR:
```
PaGe2Pd4
1.0
7.740 0.000 0.000
0.000 7.740 0.000
0.000 0.000 4.044
Pa Ge Pd
2 4 8
direct
0.000 0.000 0.000
0.500 0.500 0.500
0.214 0.214 0.500
0.286 0.714 0.000
0.714 0.286 0.000
0.786 0.786 0.500
0.092 0.659 0.500
0.159 0.408 0.000
0.341 0.908 0.500
0.408 0.159 0.000
0.592 0.841 0.000
0.659 0.092 0.500
0.841 0.592 0.000
0.908 0.341 0.500
```

Values from the calculation:
Size of the total moment   0.019 μB/atom
Energy   -87.13 eV/cell
E above lowest polymorph   0.00 eV per formula unit
Space-group type   P4_2/mnm


[6]
The following is a DFT calculation (PBE-GGA) of a geometry-optimized Pa3Ge3Pd2 structure.

Geometry as POSCAR:
```
Pa3Ge3Pd2
1.0
7.846 0.000 0.000
0.000 14.485 0.000
0.000 0.000 5.825
Pa Ge Pd
12 12 8
direct
0.037 0.111 0.124
0.037 0.389 0.124
0.184 0.250 0.624
0.316 0.750 0.124
0.463 0.611 0.624
0.463 0.889 0.624
0.537 0.111 0.376
0.537 0.389 0.376
0.684 0.250 0.876
0.816 0.750 0.376
0.963 0.611 0.876
0.963 0.889 0.876
0.181 0.750 0.637
0.201 0.041 0.587
0.201 0.459 0.587
0.299 0.541 0.087
0.299 0.959 0.087
0.319 0.250 0.137
0.681 0.750 0.863
0.701 0.041 0.913
0.701 0.459 0.913
0.799 0.541 0.413
0.799 0.959 0.413
0.819 0.250 0.363
0.098 0.609 0.381
0.098 0.891 0.381
0.402 0.109 0.881
0.402 0.391 0.881
0.598 0.609 0.119
0.598 0.891 0.119
0.902 0.109 0.619
0.902 0.391 0.619
```

Values from the calculation:
Size of the total moment   0.029 μB/atom
Energy   -229.51 eV/cell
E above lowest polymorph   0.37 eV per formula unit
Space-group type   Pnma


[7]
The following is a DFT calculation (PBE-GGA) of a geometry-optimized Pa2GePd structure.

Geometry as POSCAR:
```
Pa2GePd
1.0
3.758 0.000 0.000
0.000 3.758 0.000
0.000 0.000 6.080
Pa Ge Pd
2 1 1
direct
0.000 0.000 0.247
0.000 0.000 0.753
0.500 0.500 0.000
0.500 0.500 0.500
```

Values from the calculation:
Size of the total moment   0.000 μB/atom
Energy   -30.37 eV/cell
E above lowest polymorph   0.21 eV per formula unit
Space-group type   P4/mmm


[8]
The following is a DFT calculation (PBE-GGA) of a geometry-optimized PaGePd structure.

Geometry as POSCAR:
```
PaGePd
1.0
2.122 1.225 8.029
-2.122 1.225 8.029
0.000 -2.451 8.029
Pa Ge Pd
2 2 2
direct
0.134 0.134 0.134
0.866 0.866 0.866
0.372 0.372 0.372
0.628 0.628 0.628
0.263 0.263 0.263
0.737 0.737 0.737
```

Values from the calculation:
Size of the total moment   0.000 μB/atom
Energy   -40.10 eV/cell
Space-group type   R-3m


D(E_F): 2.247, 6.814, 9.510, 6.467, 12.443, 39.660, 6.631, 7.012 (states/eV/cell)